<1>
Crystalline KW2Cl at its relaxed geometry. Source: the Alexandria database, functional PBE-GGA.

D(E_F), states/eV/f.u.: 6.237
Spin magnetization, μB per formula unit: 0.00

Lattice parameters (Å, degrees): 6.6853 6.6853 6.6853 90.00 90.00 90.00
With the nearest neighbours (Å) after each atom.
Space group Fm-3m (No. 225)
Inequivalent atoms, fractional coordinates:
K  0.0000  0.0000  0.0000 (multiplicity 4)  8 W 2.89
W  0.2500  0.2500  0.2500 (multiplicity 8)  4 Cl 2.89, 4 K 2.89
Cl  0.0000  0.0000  0.5000 (multiplicity 4)  8 W 2.89


<2>
Crystalline KW2Cl at its relaxed geometry. Source: the Alexandria database, functional PBE-GGA.

D(E_F), states/eV/f.u.: 4.044
Spin magnetization, μB per formula unit: 0.00

Lattice parameters (Å, degrees): 5.3550 15.8946 2.9903 90.00 123.75 90.00
With the nearest neighbours (Å) after each atom.
Space group C2/m (No. 12)
Inequivalent atoms, fractional coordinates:
K  0.0000  0.0000  0.0000 (multiplicity 2)  4 Cl 2.68-2.69, 2 K 2.99
W  0.2500  0.2500  0.0000 (multiplicity 4)  6 W 2.68-2.99
Cl  0.0000  0.5000  0.0000 (multiplicity 2)  4 K 2.68-2.69, 2 Cl 2.99


Stability ranking, top entry: <2>; the second entry is 1898 meV/atom less favorable.